Cs3Rh5I12 (PBE, relaxed); E_tot = -259.06 eV/cell
1.0
-8.780 -12.964 -2.855
15.062 -2.728 -4.360
-0.489 3.423 15.535
Cs Rh I
12 20 48
Direct
0.750 0.375 0.125
0.875 0.750 0.125
0.375 0.750 0.625
0.250 0.125 0.375
0.875 0.125 0.250
0.375 0.625 0.250
0.625 0.375 0.750
0.125 0.875 0.750
0.750 0.875 0.625
0.625 0.250 0.375
0.125 0.250 0.875
0.250 0.625 0.875
0.125 0.375 0.250
0.000 0.500 0.000
0.000 0.000 0.000
0.375 0.250 0.125
0.500 0.000 0.500
0.500 0.500 0.000
0.125 0.750 0.375
0.750 0.125 0.875
0.750 0.625 0.375
0.375 0.125 0.750
0.625 0.875 0.250
0.500 0.500 0.500
0.500 0.000 0.000
0.000 0.000 0.500
0.250 0.375 0.625
0.250 0.875 0.125
0.000 0.500 0.500
0.875 0.250 0.625
0.625 0.750 0.875
0.875 0.625 0.750
0.684 0.099 0.004
0.321 0.504 0.405
0.996 0.401 0.316
0.504 0.184 0.099
0.584 0.684 0.679
0.996 0.595 0.179
0.321 0.816 0.416
0.095 0.916 0.099
0.595 0.996 0.679
0.684 0.584 0.179
0.816 0.496 0.401
0.821 0.905 0.004
0.099 0.684 0.504
0.401 0.405 0.084
0.084 0.905 0.401
0.416 0.099 0.595
0.084 0.179 0.184
0.496 0.679 0.095
0.821 0.916 0.316
0.099 0.416 0.095
0.401 0.996 0.816
0.595 0.599 0.416
0.905 0.821 0.504
0.816 0.321 0.916
0.405 0.401 0.584
0.095 0.179 0.496
0.184 0.679 0.084
0.179 0.084 0.684
0.599 0.004 0.184
0.901 0.584 0.905
0.504 0.321 0.905
0.584 0.901 0.405
0.916 0.821 0.816
0.916 0.095 0.599
0.901 0.316 0.496
0.179 0.095 0.996
0.599 0.595 0.916
0.405 0.004 0.321
0.316 0.416 0.821
0.184 0.504 0.599
0.905 0.084 0.901
0.679 0.184 0.584
0.496 0.816 0.901
0.004 0.405 0.821
0.416 0.316 0.321
0.004 0.599 0.684
0.679 0.496 0.595
0.316 0.901 0.996

***

Cs2RhI4 (PBE, relaxed); E_tot = -21.49 eV/cell
1.0
-4.278 -3.670 0.802
2.739 -3.879 -3.141
3.433 -7.002 6.483
Cs I Rh
2 4 1
Direct
0.641 0.641 0.718
0.359 0.359 0.282
0.854 0.854 0.292
0.146 0.146 0.708
0.000 0.500 0.000
0.500 0.000 0.000
0.000 0.000 0.000

***

CsRh3I (PBE, relaxed); E_tot = -14.78 eV/cell
1.0
-0.323 -4.978 -0.953
0.860 -0.995 4.905
-4.995 0.150 0.906
Cs I Rh
1 1 3
Direct
0.000 0.000 0.000
0.500 0.500 0.500
0.000 0.500 0.000
0.000 0.000 0.500
0.500 0.000 0.000